The following is a GGA-PBE calculation of an optimized crystal structure of Ba2TaSnSb, from Alexandria via LeMat-Bulk.

```
Ba2TaSnSb
1.0
-2.907 -5.586 -1.915
4.598 -1.535 -2.503
2.024 -2.948 5.526
Sb Ba Sn Ta
1 2 1 1
Direct
0.000 0.500 0.000
0.000 0.000 0.500
0.500 0.000 0.000
0.000 0.000 0.000
0.500 0.500 0.500
```

Output
Fermi-level density of states ... 5.284 states/eV/f.u.
Final energy ... -3.75 eV per atom
Crystal system ... tetragonal
ΔE_f (raw) ... 5.1 eV per formula unit